Density functional theory data (PBE-GGA) for a geometry-optimized Ce3CdHg structure.

uncorrected energy = -3.90 eV/atom
calculated formation energy = -0.100 eV per atom
magnetization = 3.55 μB per cell

```
data_Ce3CdHg
_space_group_name_H-M_alt 'P 1'
_space_group_IT_number 1
_cell_length_a 6.3654
_cell_length_b 4.9345
_cell_length_c 8.9859
_cell_angle_alpha 105.94
_cell_angle_beta 91.79
_cell_angle_gamma 90.00
loop_
_space_group_symop_operation_xyz
'x,y,z'
loop_
_atom_site_label
_atom_site_type_symbol
_atom_site_fract_x
_atom_site_fract_y
_atom_site_fract_z
Cd1 Cd 0.4159 0.4082 0.8164
Cd2 Cd 0.5841 0.5918 0.1836
Ce1 Ce 0.7261 0.9585 0.9170
Ce2 Ce 0.8964 0.3269 0.6538
Ce3 Ce 0.1036 0.6731 0.3462
Ce4 Ce 0.3403 0.1947 0.3894
Ce5 Ce 0.6597 0.8053 0.6106
Ce6 Ce 0.2739 0.0415 0.0830
Hg1 Hg 0.1836 0.8603 0.7206
Hg2 Hg 0.8164 0.1397 0.2794
```